Material: AcEuSiHg
Method: DFT, GGA-PBE
State: relaxed

The structure in CIF format:
```
data_AcEuSiHg
_chemical_formula_sum 'Ac4 Eu4 Si4 Hg4'
_space_group_name_H-M_alt 'P 1'
_space_group_IT_number 1
_space_group_name_Hall 'P 1'
_cell_length_a 7.7547
_cell_length_b 7.7547
_cell_length_c 7.7547
_cell_angle_alpha 90.00
_cell_angle_beta 90.00
_cell_angle_gamma 90.00
loop_
_atom_site_label
_atom_site_type_symbol
_atom_site_fract_x
_atom_site_fract_y
_atom_site_fract_z
Ac1 Ac 0.0000 0.0000 0.0000
Ac2 Ac 0.0000 0.5000 0.5000
Ac3 Ac 0.5000 0.0000 0.5000
Ac4 Ac 0.5000 0.5000 0.0000
Eu1 Eu 0.0000 0.0000 0.5000
Eu2 Eu 0.0000 0.5000 0.0000
Eu3 Eu 0.5000 0.0000 0.0000
Eu4 Eu 0.5000 0.5000 0.5000
Si1 Si 0.2500 0.2500 0.2500
Si2 Si 0.2500 0.7500 0.7500
Si3 Si 0.7500 0.2500 0.7500
Si4 Si 0.7500 0.7500 0.2500
Hg1 Hg 0.2500 0.2500 0.7500
Hg2 Hg 0.2500 0.7500 0.2500
Hg3 Hg 0.7500 0.2500 0.2500
Hg4 Hg 0.7500 0.7500 0.7500
```

Calculated values
* SG: F-43m
* uncorrected formation energy: -0.433 eV/atom

***

Material: HfAu
Method: DFT, GGA-PBE
State: relaxed

The structure in CIF format:
```
data_HfAu
_chemical_formula_sum 'Hf4 Au4'
_space_group_name_H-M_alt 'P 1'
_space_group_IT_number 1
_space_group_name_Hall 'P 1'
_cell_length_a 6.1228
_cell_length_b 6.1228
_cell_length_c 6.1228
_cell_angle_alpha 90.00
_cell_angle_beta 90.00
_cell_angle_gamma 90.00
loop_
_atom_site_label
_atom_site_type_symbol
_atom_site_fract_x
_atom_site_fract_y
_atom_site_fract_z
Hf1 Hf 0.0000 0.0000 0.0000
Hf2 Hf 0.0000 0.5000 0.5000
Hf3 Hf 0.5000 0.0000 0.5000
Hf4 Hf 0.5000 0.5000 0.0000
Au1 Au 0.2500 0.2500 0.7500
Au2 Au 0.2500 0.7500 0.2500
Au3 Au 0.7500 0.2500 0.2500
Au4 Au 0.7500 0.7500 0.7500
```

Calculated values
* SG: F-43m
* formation enthalpy at 0 K: 0.440 eV/atom

***

Material: NbNi2Mo2
Method: DFT, GGA-PBE
State: relaxed

The structure in CIF format:
```
data_NbNi2Mo2
_chemical_formula_sum 'Nb2 Ni4 Mo4'
_space_group_name_H-M_alt 'P 1'
_space_group_IT_number 1
_space_group_name_Hall 'P 1'
_cell_length_a 7.3688
_cell_length_b 7.3688
_cell_length_c 2.6630
_cell_angle_alpha 90.00
_cell_angle_beta 90.00
_cell_angle_gamma 90.00
loop_
_atom_site_label
_atom_site_type_symbol
_atom_site_fract_x
_atom_site_fract_y
_atom_site_fract_z
Nb1 Nb 0.0000 0.0000 0.0000
Nb2 Nb 0.5000 0.5000 0.0000
Ni1 Ni 0.1188 0.3812 0.0000
Ni2 Ni 0.3812 0.8812 0.0000
Ni3 Ni 0.6188 0.1188 0.0000
Ni4 Ni 0.8812 0.6188 0.0000
Mo1 Mo 0.1751 0.6751 0.5000
Mo2 Mo 0.3249 0.1751 0.5000
Mo3 Mo 0.6751 0.8249 0.5000
Mo4 Mo 0.8249 0.3249 0.5000
```

Calculated values
* ΔE to the lowest computed polymorph: 0.0 meV/atom
* SG: P4/mbm
* formation enthalpy at 0 K: 0.043 eV/atom

***

Material: ZrGaBSe2
Method: DFT, GGA-PBE
State: relaxed

The structure in CIF format:
```
data_ZrGaBSe2
_chemical_formula_sum 'Zr1 Ga1 B1 Se2'
_space_group_name_H-M_alt 'P 1'
_space_group_IT_number 1
_space_group_name_Hall 'P 1'
_cell_length_a 4.4746
_cell_length_b 4.4746
_cell_length_c 4.7353
_cell_angle_alpha 90.00
_cell_angle_beta 90.00
_cell_angle_gamma 90.00
loop_
_atom_site_label
_atom_site_type_symbol
_atom_site_fract_x
_atom_site_fract_y
_atom_site_fract_z
Zr1 Zr 0.0000 0.0000 0.0000
Ga1 Ga 0.5000 0.5000 0.0000
B1 B 0.0000 0.0000 0.5000
Se1 Se 0.0000 0.5000 0.5000
Se2 Se 0.5000 0.0000 0.5000
```

Calculated values
* SG: P4/mmm
* uncorrected formation energy: 0.350 eV/atom

***

Material: CsRbNa2Au2
Method: DFT, GGA-PBE
State: relaxed

The structure in CIF format:
```
data_CsRbNa2Au2
_chemical_formula_sum 'Cs1 Rb1 Na2 Au2'
_space_group_name_H-M_alt 'P 1'
_space_group_IT_number 1
_space_group_name_Hall 'P 1'
_cell_length_a 5.4435
_cell_length_b 5.4435
_cell_length_c 8.7588
_cell_angle_alpha 90.00
_cell_angle_beta 90.00
_cell_angle_gamma 120.00
loop_
_atom_site_label
_atom_site_type_symbol
_atom_site_fract_x
_atom_site_fract_y
_atom_site_fract_z
Cs1 Cs 0.0000 0.0000 0.0000
Rb1 Rb 0.0000 0.0000 0.5000
Na1 Na 0.3333 0.6667 0.6822
Na2 Na 0.6667 0.3333 0.3178
Au1 Au 0.3333 0.6667 0.2979
Au2 Au 0.6667 0.3333 0.7021
```

Calculated values
* SG: P-3m1
* formation enthalpy at 0 K: -0.176 eV/atom

***

Material: NdSm5Tm4
Method: DFT, GGA-PBE
State: relaxed

The structure in CIF format:
```
data_NdSm5Tm4
_chemical_formula_sum 'Nd1 Sm5 Tm4'
_space_group_name_H-M_alt 'P 1'
_space_group_IT_number 1
_space_group_name_Hall 'P 1'
_cell_length_a 7.8916
_cell_length_b 7.8916
_cell_length_c 7.8916
_cell_angle_alpha 99.27
_cell_angle_beta 99.27
_cell_angle_gamma 132.67
loop_
_atom_site_label
_atom_site_type_symbol
_atom_site_fract_x
_atom_site_fract_y
_atom_site_fract_z
Nd1 Nd 0.0000 0.0000 0.0000
Sm1 Sm 0.0351 0.1252 0.6183
Sm2 Sm 0.1252 0.5069 0.0901
Sm3 Sm 0.4168 0.0351 0.9099
Sm4 Sm 0.5069 0.4168 0.3817
Sm5 Sm 0.5431 0.5431 0.0000
Tm1 Tm 0.1191 0.8203 0.4000
Tm2 Tm 0.4203 0.7190 0.6000
Tm3 Tm 0.7190 0.1191 0.2988
Tm4 Tm 0.8203 0.4203 0.7012
```

Calculated values
* ΔE to the lowest computed polymorph: 253.1 meV/atom
* SG: I4
* formation enthalpy at 0 K: 0.297 eV/atom

***

Material: PrNdAu2
Method: DFT, GGA-PBE
State: relaxed

The structure in CIF format:
```
data_PrNdAu2
_chemical_formula_sum 'Pr3 Nd3 Au6'
_space_group_name_H-M_alt 'P 1'
_space_group_IT_number 1
_space_group_name_Hall 'P 1'
_cell_length_a 4.1877
_cell_length_b 4.1877
_cell_length_c 23.0094
_cell_angle_alpha 90.00
_cell_angle_beta 90.00
_cell_angle_gamma 120.00
loop_
_atom_site_label
_atom_site_type_symbol
_atom_site_fract_x
_atom_site_fract_y
_atom_site_fract_z
Pr1 Pr 0.0000 0.0000 0.0000
Pr2 Pr 0.3333 0.6667 0.6667
Pr3 Pr 0.6667 0.3333 0.3333
Nd1 Nd 0.0000 0.0000 0.5000
Nd2 Nd 0.3333 0.6667 0.1667
Nd3 Nd 0.6667 0.3333 0.8333
Au1 Au 0.0000 0.0000 0.2492
Au2 Au 0.0000 0.0000 0.7508
Au3 Au 0.3333 0.6667 0.4175
Au4 Au 0.3333 0.6667 0.9158
Au5 Au 0.6667 0.3333 0.0842
Au6 Au 0.6667 0.3333 0.5825
```

Calculated values
* SG: R-3m
* formation enthalpy at 0 K: -0.649 eV/atom

***

Material: Th2ScIn
Method: DFT, GGA-PBE
State: relaxed

The structure in CIF format:
```
data_Th2ScIn
_chemical_formula_sum 'Th6 Sc3 In3'
_space_group_name_H-M_alt 'P 1'
_space_group_IT_number 1
_space_group_name_Hall 'P 1'
_cell_length_a 3.4468
_cell_length_b 3.4468
_cell_length_c 33.9608
_cell_angle_alpha 90.00
_cell_angle_beta 90.00
_cell_angle_gamma 120.00
loop_
_atom_site_label
_atom_site_type_symbol
_atom_site_fract_x
_atom_site_fract_y
_atom_site_fract_z
Th1 Th 0.0000 0.0000 0.0000
Th2 Th 0.0000 0.0000 0.1662
Th3 Th 0.3333 0.6667 0.6667
Th4 Th 0.3333 0.6667 0.8329
Th5 Th 0.6667 0.3333 0.3333
Th6 Th 0.6667 0.3333 0.4996
Sc1 Sc 0.0000 0.0000 0.5837
Sc2 Sc 0.3333 0.6667 0.2503
Sc3 Sc 0.6667 0.3333 0.9170
In1 In 0.0000 0.0000 0.7494
In2 In 0.3333 0.6667 0.4161
In3 In 0.6667 0.3333 0.0827
```

Calculated values
* ΔE to the lowest computed polymorph: 178.5 meV/atom
* SG: R3m
* formation enthalpy at 0 K: -0.005 eV/atom

***

Material: MnFe2Si
Method: DFT, GGA-PBE
State: relaxed

The structure in CIF format:
```
data_MnFe2Si
_chemical_formula_sum 'Mn1 Fe2 Si1'
_space_group_name_H-M_alt 'P 1'
_space_group_IT_number 1
_space_group_name_Hall 'P 1'
_cell_length_a 2.5389
_cell_length_b 3.9782
_cell_length_c 4.5974
_cell_angle_alpha 90.00
_cell_angle_beta 99.05
_cell_angle_gamma 90.00
loop_
_atom_site_label
_atom_site_type_symbol
_atom_site_fract_x
_atom_site_fract_y
_atom_site_fract_z
Mn1 Mn 0.0000 0.0000 0.0000
Fe1 Fe 0.2469 0.5000 0.7478
Fe2 Fe 0.7531 0.5000 0.2522
Si1 Si 0.5000 0.0000 0.5000
```

Calculated values
* SG: P2/m
* uncorrected formation energy: -0.112 eV/atom

***

Material: EuGa2P2
Method: DFT, GGA-PBE
State: relaxed

The structure in CIF format:
```
data_EuGa2P2
_chemical_formula_sum 'Eu4 Ga8 P8'
_space_group_name_H-M_alt 'P 1'
_space_group_IT_number 1
_space_group_name_Hall 'P 1'
_cell_length_a 9.2677
_cell_length_b 3.9296
_cell_length_c 12.1170
_cell_angle_alpha 90.00
_cell_angle_beta 95.39
_cell_angle_gamma 90.00
loop_
_atom_site_label
_atom_site_type_symbol
_atom_site_fract_x
_atom_site_fract_y
_atom_site_fract_z
Eu1 Eu 0.0000 0.0000 0.0000
Eu2 Eu 0.1978 0.5000 0.2774
Eu3 Eu 0.5000 0.0000 0.5000
Eu4 Eu 0.8022 0.5000 0.7226
Ga1 Ga 0.1129 0.0000 0.5649
Ga2 Ga 0.1932 0.5000 0.8266
Ga3 Ga 0.3943 0.0000 0.0567
Ga4 Ga 0.4017 0.5000 0.7183
Ga5 Ga 0.5983 0.5000 0.2817
Ga6 Ga 0.6057 0.0000 0.9433
Ga7 Ga 0.8068 0.5000 0.1734
Ga8 Ga 0.8871 0.0000 0.4351
P1 P 0.0503 0.0000 0.7596
P2 P 0.2370 0.5000 0.0275
P3 P 0.2653 0.5000 0.5331
P4 P 0.4411 0.0000 0.2578
P5 P 0.5589 0.0000 0.7422
P6 P 0.7347 0.5000 0.4669
P7 P 0.7630 0.5000 0.9725
P8 P 0.9497 0.0000 0.2404
```

Calculated values
* SG: P2/m
* formation enthalpy at 0 K: -0.679 eV/atom